1.
A plane-wave DFT calculation with PBE was carried out for a relaxed Dy3Rh4 crystal.

a b c (Å): 8.1834 8.1834 8.1834
angles (deg): 33.04 33.04 33.04
Closest atoms and distances in Å follow each position.
Fractional positions:
Dy  0.0000  0.0000  0.0000  8 Rh 2.80-2.86
Dy  0.2389  0.2389  0.2389  7 Rh 2.74-2.95
Dy  0.7611  0.7611  0.7611  7 Rh 2.74-2.95
Rh  0.1206  0.1206  0.1206  5 Dy 2.74-2.80
Rh  0.3754  0.3754  0.3754  7 Dy 2.86-3.17
Rh  0.6246  0.6246  0.6246  7 Dy 2.86-3.17
Rh  0.8794  0.8794  0.8794  5 Dy 2.74-2.80

***

2.
A plane-wave DFT calculation with PBE was carried out for a relaxed Dy4Rh crystal.

a b c (Å): 5.3997 5.3997 5.3997
angles (deg): 90.00 90.00 90.00
Closest atoms and distances in Å follow each position.
Fractional positions:
Dy  0.0000  0.0000  0.0000  12 Dy 3.82
Dy  0.0000  0.5000  0.5000  2 Rh 2.70
Dy  0.5000  0.0000  0.5000  2 Rh 2.70
Dy  0.5000  0.5000  0.0000  2 Rh 2.70
Rh  0.5000  0.5000  0.5000  6 Dy 2.70

Computed properties:
- E above lowest polymorph: 145 meV/atom

***

no.,D(E_F) (states/eV/atom),raw total energy (eV per cell)
1,0.45,-47.0
2,1.60,-26.8